[1]
! InBi2PtO PBE-GGA relaxed; values from VASP
! Total moment   0.0 μB/f.u.
! Energy relative to the elements, uncorrected   401 meV per atom
! Electronic total energy   -19.50 eV per cell
&SYSTEM
  ibrav = 0, nat = 5, ntyp = 4
/
ATOMIC_SPECIES
In 114.82 In.upf
Pt 195.08 Pt.upf
Bi 208.98 Bi.upf
O 16.00 O.upf
CELL_PARAMETERS angstrom
5.757 0.000 0.000
0.000 3.885 0.000
0.000 0.000 5.757
ATOMIC_POSITIONS angstrom
In 0.000 0.000 0.000
Pt 2.879 1.942 2.879
Bi 0.000 0.000 2.879
Bi 2.879 0.000 0.000
O 0.000 1.942 0.000

***

[2]
! PuInBiO6 PBE-GGA relaxed; values from VASP
! Total moment   2.0 μB/f.u.
! Energy relative to the elements, uncorrected   -1833 meV per atom
! Electronic total energy   -134.39 eV per cell
&SYSTEM
  ibrav = 0, nat = 18, ntyp = 4
/
ATOMIC_SPECIES
O 16.00 O.upf
Bi 208.98 Bi.upf
Pu 244.00 Pu.upf
In 114.82 In.upf
CELL_PARAMETERS angstrom
-5.478 -1.089 -0.327
3.723 -3.934 -1.402
0.089 -3.283 9.445
ATOMIC_POSITIONS angstrom
O 0.231 -7.403 6.576
O -4.098 -2.866 0.478
Bi 0.000 0.000 0.000
Pu 0.723 -5.447 6.040
O -0.463 -4.626 7.548
O -0.660 -2.938 2.844
O -2.970 -4.786 2.223
Bi 0.045 -1.641 4.722
O -1.203 -3.679 0.167
O 1.839 -6.328 4.511
O 1.305 -3.519 5.493
Pu -2.389 -2.858 1.676
In -2.344 -4.499 6.398
O -1.896 -0.902 1.139
O -3.504 -1.977 3.204
O -1.005 -5.368 4.872
O 2.432 -5.440 7.238
In 0.678 -3.806 1.317

***

[3]
! PuIn2BiO8 PBE-GGA relaxed; values from VASP
! Total moment   1.7 μB/f.u.
! Energy relative to the elements, uncorrected   -1712 meV per atom
! Electronic total energy   -83.90 eV per cell
&SYSTEM
  ibrav = 0, nat = 12, ntyp = 4
/
ATOMIC_SPECIES
In 114.82 In.upf
O 16.00 O.upf
Bi 208.98 Bi.upf
Pu 244.00 Pu.upf
CELL_PARAMETERS angstrom
5.038 -0.066 -0.003
-0.037 5.037 -0.005
0.004 0.008 6.869
ATOMIC_POSITIONS angstrom
In 2.502 2.487 1.705
O 0.922 4.071 1.503
O 3.422 3.405 3.429
O 1.583 1.574 3.432
O 3.510 3.493 -0.006
O 1.491 1.478 -0.003
Bi 0.002 0.004 3.435
In 2.504 2.491 5.155
Pu 0.000 0.000 0.000
O 0.925 4.076 5.356
O 4.081 0.903 1.505
O 4.083 0.908 5.357

***

[4]
! PuInBi2O6 PBE-GGA relaxed; values from VASP
! Total moment   3.0 μB/f.u.
! Energy relative to the elements, uncorrected   -1619 meV per atom
! Electronic total energy   -70.77 eV per cell
&SYSTEM
  ibrav = 0, nat = 10, ntyp = 4
/
ATOMIC_SPECIES
O 16.00 O.upf
In 114.82 In.upf
Bi 208.98 Bi.upf
Pu 244.00 Pu.upf
CELL_PARAMETERS angstrom
5.979 0.000 0.001
2.990 5.178 0.001
2.990 1.726 5.910
ATOMIC_POSITIONS angstrom
O 4.857 1.920 1.167
O 7.867 3.246 1.167
O 4.258 3.242 4.704
O 7.023 2.067 4.704
O 5.213 5.190 1.167
In 8.969 5.178 3.850
Bi 2.990 1.726 5.840
O 6.658 5.049 4.704
Pu 2.990 1.726 0.068
Bi 5.979 3.452 2.275